[1]
MgAuBr2 PBE-GGA relaxed; energy above the most stable polymorph in this dataset = 0.2154 eV per atom; uncorrected formation energy = -409.6 meV/atom
1.0
-3.863 2.760 4.969
-5.385 0.145 -4.267
-6.095 -3.636 2.034
Mg Au Br
2 2 4
Cartesian
-4.624 1.453 0.351 Mg
-8.052 -1.019 -0.941 Mg
0.000 0.000 0.000 Au
-7.290 0.288 3.677 Au
-4.363 0.657 2.762 Br
-5.620 -0.296 -1.219 Br
-8.384 -1.628 1.515 Br
-12.317 -0.194 2.413 Br

---

[2]
NpHRh2 PBE-GGA relaxed; E_tot = -7.73 eV/atom
1.0
-1.824 0.576 3.128
-3.380 -1.356 0.427
0.207 -4.499 3.098
Np H Rh
1 1 2
Cartesian
-2.499 -2.639 3.327 Np
0.000 0.000 0.000 H
-1.396 -1.000 1.519 Rh
-3.602 -4.279 5.135 Rh

---

[3]
MnVAg3 PBE-GGA relaxed; energy above the most stable polymorph in this dataset = 0.1475 eV per atom; calculated formation energy = 1.3612 eV per atom
1.0
4.932 0.000 0.000
0.000 4.932 0.000
0.000 0.000 4.932
Mn Ag V
1 3 1
Cartesian
2.466 2.466 2.466 Mn
0.000 2.466 0.000 Ag
0.000 0.000 2.466 Ag
2.466 0.000 0.000 Ag
0.000 0.000 0.000 V

---

[4]
CsTcAg2Cl8 PBE-GGA relaxed; uncorrected formation energy = -807.0 meV/atom
1.0
6.456 -0.100 0.209
-0.079 6.641 1.870
0.577 2.750 9.482
Cs Tc Ag Cl
1 1 2 8
Cartesian
0.289 1.375 4.741 Cs
0.000 0.000 0.000 Tc
3.190 3.881 7.305 Ag
3.765 5.410 4.256 Ag
0.876 5.583 3.779 Cl
4.781 4.795 1.922 Cl
4.970 1.086 1.628 Cl
6.078 3.708 7.781 Cl
2.173 4.495 9.639 Cl
1.985 8.204 9.932 Cl
3.427 6.309 6.598 Cl
3.527 2.982 4.962 Cl

---

[5]
Re2TcCl PBE-GGA relaxed; energy above the most stable polymorph in this dataset = 0.6150 eV per atom; uncorrected formation energy = 944.1 meV/atom
1.0
2.879 0.000 0.000
0.000 4.530 0.000
0.000 0.000 4.610
Cl Re Tc
1 2 1
Cartesian
0.000 2.265 2.305 Cl
0.000 0.000 0.000 Re
1.440 2.265 0.000 Re
1.440 0.000 2.305 Tc

---

[6]
Zr2CdMo PBE-GGA relaxed; calculated formation energy = 0.1021 eV per atom
1.0
2.896 0.000 0.000
0.000 2.896 0.000
0.000 0.000 9.662
Cd Mo Zr
1 1 2
Cartesian
1.448 1.448 2.416 Cd
1.448 1.448 7.247 Mo
0.000 0.000 9.554 Zr
0.000 0.000 4.939 Zr

---

[7]
Cr2HgPbBr PBE-GGA relaxed; uncorrected formation energy = 984.8 meV/atom
1.0
5.159 0.000 0.000
0.000 6.082 0.000
0.000 0.000 5.159
Pb Cr Hg Br
1 2 1 1
Cartesian
2.580 3.041 2.580 Pb
0.000 0.000 2.580 Cr
2.580 0.000 0.000 Cr
0.000 0.000 0.000 Hg
0.000 3.041 0.000 Br

---

[8]
LiAcMnN3 PBE-GGA relaxed; uncorrected formation energy = -620.6 meV/atom
1.0
5.378 0.000 0.000
0.000 5.486 0.000
0.000 -2.743 4.939
Li Ac Mn N
2 2 2 6
Cartesian
1.344 0.000 4.335 Li
4.033 2.743 0.604 Li
4.033 0.000 2.584 Ac
1.344 2.743 2.355 Ac
1.344 0.000 0.599 Mn
4.033 2.743 4.340 Mn
1.344 0.000 2.342 N
0.000 1.196 0.000 N
2.689 4.289 0.000 N
2.689 1.196 0.000 N
0.000 4.289 0.000 N
4.033 2.743 2.597 N

---

[9]
KLi2SiO4 PBE-GGA relaxed; uncorrected formation energy = -2077.9 meV/atom
1.0
0.026 0.904 -5.134
1.999 -4.748 -0.795
-4.427 0.529 2.702
K Li Si O
1 2 1 4
Cartesian
1.013 -1.922 -2.964 K
-1.694 -0.245 -2.698 Li
-0.707 -3.071 -0.529 Li
0.000 0.000 0.000 Si
-1.475 -2.297 -2.321 O
0.652 -0.621 -5.182 O
1.929 -4.279 -2.374 O
-1.483 0.036 0.721 O

---

[10]
TbPm2Ho2Mg PBE-GGA relaxed; calculated formation energy = 0.1933 eV per atom
1.0
-0.727 1.612 -6.547
-2.788 -5.643 -1.079
-6.136 5.580 5.567
Tb Pm Ho Mg
2 4 4 2
Cartesian
-2.091 -4.232 -0.810 Tb
-0.697 -1.411 -0.270 Tb
-3.034 2.445 -4.946 Pm
-3.937 -1.465 -1.063 Pm
-5.714 3.014 -0.996 Pm
-6.617 -0.896 2.887 Pm
-2.634 1.631 -1.724 Ho
-7.017 -0.082 -0.335 Ho
-5.396 2.237 2.244 Ho
-4.255 -0.688 -4.304 Ho
-2.454 -3.426 -4.083 Mg
-1.060 -0.605 -3.543 Mg

---

[11]
Ba5Sr12Ca PBE-GGA relaxed; calculated formation energy = 0.0110 eV per atom
1.0
14.580 0.000 -0.014
7.290 10.160 -0.007
0.006 0.000 6.766
Ba Sr Ca
5 12 1
Cartesian
7.293 0.000 3.376 Ba
7.293 6.783 3.376 Ba
14.582 3.377 3.369 Ba
14.580 6.802 -0.014 Ba
7.290 3.358 -0.007 Ba
12.203 0.000 3.371 Sr
2.383 0.000 3.381 Sr
9.816 0.000 -0.009 Sr
12.059 10.160 6.754 Sr
9.713 6.812 -0.009 Sr
19.447 6.812 -0.019 Sr
2.428 3.348 6.764 Sr
12.162 3.348 6.754 Sr
9.794 3.381 3.374 Sr
17.084 6.779 3.367 Sr
4.791 3.381 3.378 Sr
12.081 6.779 3.371 Sr
0.000 0.000 0.000 Ca